1.
# K2BaBe (PBE, relaxed)
data_K2BaBe
_cell_length_a 5.179
_cell_length_b 5.179
_cell_length_c 6.787
_cell_angle_alpha 90.00
_cell_angle_beta 90.00
_cell_angle_gamma 90.00
_symmetry_space_group_name_H-M 'P 4/m m m'
_symmetry_Int_Tables_number 123
_symmetry_space_group_name_Hall '-P 4 2'
loop_
_atom_site_label
_atom_site_type_symbol
_atom_site_fract_x
_atom_site_fract_y
_atom_site_fract_z
_atom_site_occupancy
K1 K 0.000 0.500 0.000 1
Ba1 Ba 0.000 0.000 0.500 1
Be1 Be 0.500 0.500 0.500 1
# N(E_F)   4.18 states/eV/f.u.
# DFT total energy   -5.37 eV per cell
# Crystal system   tetragonal

---

2.
# Dy3Y2Er3 (PBE, relaxed)
data_Dy3Y2Er3
_cell_length_a 23.728
_cell_length_b 3.551
_cell_length_c 6.151
_cell_angle_alpha 90.00
_cell_angle_beta 105.01
_cell_angle_gamma 90.00
_symmetry_space_group_name_H-M 'C 1 2/m 1'
_symmetry_Int_Tables_number 12
loop_
_symmetry_equiv_pos_as_xyz
'x,y,z'
'-x,-y,-z'
'-x,y,-z'
'x,-y,z'
'x+1/2,y+1/2,z'
'-x+1/2,-y+1/2,-z'
'-x+1/2,y+1/2,-z'
'x+1/2,-y+1/2,z'
loop_
_atom_site_label
_atom_site_type_symbol
_atom_site_fract_x
_atom_site_fract_y
_atom_site_fract_z
_atom_site_occupancy
Dy1 Dy 0.000 0.000 0.000 1
Dy2 Dy 0.124 0.000 0.458 1
Y1 Y 0.250 0.000 0.250 1
Er1 Er 0.000 0.500 0.500 1
Er2 Er 0.124 0.500 0.958 1
# N(E_F)   11.37 states/eV/f.u.
# Crystal system   monoclinic
# Polymorph energy (0 for the lowest one)   0.000 eV per atom

---

3.
# Sr6Tl2In (PBE, relaxed)
data_Sr6Tl2In
_cell_length_a 11.055
_cell_length_b 11.250
_cell_length_c 11.946
_cell_angle_alpha 90.00
_cell_angle_beta 90.00
_cell_angle_gamma 90.00
_symmetry_space_group_name_H-M 'I m m m'
_symmetry_Int_Tables_number 71
_symmetry_space_group_name_Hall '-I 2 2'
loop_
_atom_site_label
_atom_site_type_symbol
_atom_site_fract_x
_atom_site_fract_y
_atom_site_fract_z
_atom_site_occupancy
Sr1 Sr 0.000 0.189 0.249 1
Sr2 Sr 0.205 0.500 0.338 1
Sr3 Sr 0.228 0.326 0.000 1
Tl1 Tl 0.000 0.333 0.500 1
Tl2 Tl 0.000 0.500 0.131 1
In1 In 0.000 0.000 0.000 1
In2 In 0.000 0.000 0.500 1
# N(E_F)   9.98 states/eV/f.u.
# DFT total energy   -80.39 eV per cell
# Crystal system   orthorhombic

---

4.
# Nd3YAg3 (PBE, relaxed)
data_Nd3YAg3
_cell_length_a 10.139
_cell_length_b 10.953
_cell_length_c 7.186
_cell_angle_alpha 90.00
_cell_angle_beta 91.33
_cell_angle_gamma 90.00
_symmetry_space_group_name_H-M 'C 1 2/m 1'
_symmetry_Int_Tables_number 12
loop_
_symmetry_equiv_pos_as_xyz
'x,y,z'
'-x,-y,-z'
'-x,y,-z'
'x,-y,z'
'x+1/2,y+1/2,z'
'-x+1/2,-y+1/2,-z'
'-x+1/2,y+1/2,-z'
'x+1/2,-y+1/2,z'
loop_
_atom_site_label
_atom_site_type_symbol
_atom_site_fract_x
_atom_site_fract_y
_atom_site_fract_z
_atom_site_occupancy
Nd1 Nd 0.000 0.179 0.000 1
Nd2 Nd 0.000 0.269 0.500 1
Nd3 Nd 0.138 0.500 0.870 1
Y1 Y 0.246 0.500 0.363 1
Ag1 Ag 0.067 0.000 0.321 1
Ag2 Ag 0.241 0.246 0.231 1
# N(E_F)   6.17 states/eV/f.u.
# DFT total energy   -120.65 eV per cell
# Crystal system   monoclinic